# PBE-GGA SrLiCu2, optimized geometry
# Electronic total energy   -2.943 eV per atom
# DFT formation energy   0.0035 eV/atom
data_SrLiCu2
_cell_length_a 6.725
_cell_length_b 11.422
_cell_length_c 4.536
_cell_angle_alpha 90.00
_cell_angle_beta 90.00
_cell_angle_gamma 90.00
_symmetry_space_group_name_H-M 'C m c m'
_symmetry_Int_Tables_number 63
_symmetry_space_group_name_Hall '-C 2c 2'
loop_
_atom_site_label
_atom_site_fract_x
_atom_site_fract_y
_atom_site_fract_z
_atom_site_occupancy
Sr1 0.000 0.209 0.250 1
Li1 0.000 0.433 0.750 1
Cu1 0.188 0.048 0.750 1

# PBE-GGA Li2CaAuF, optimized geometry
# Electronic total energy   -3.574 eV per atom
# Energy relative to the elements, uncorrected   -1.379 eV/atom
data_Li2CaAuF
_cell_length_a 4.298
_cell_length_b 4.298
_cell_length_c 4.670
_cell_angle_alpha 90.00
_cell_angle_beta 90.00
_cell_angle_gamma 90.00
_symmetry_space_group_name_H-M 'P 4/m m m'
_symmetry_Int_Tables_number 123
_symmetry_space_group_name_Hall '-P 4 2'
loop_
_atom_site_label
_atom_site_fract_x
_atom_site_fract_y
_atom_site_fract_z
_atom_site_occupancy
Li1 0.000 0.500 0.000 1
Ca1 0.000 0.000 0.500 1
Au1 0.500 0.500 0.500 1
F1 0.000 0.000 0.000 1

# PBE-GGA Zn2InPt, optimized geometry
# Electronic total energy   -3.064 eV per atom
# DFT formation energy   -0.2326 eV/atom
data_Zn2InPt
_cell_length_a 4.044
_cell_length_b 4.044
_cell_length_c 8.064
_cell_angle_alpha 90.00
_cell_angle_beta 90.00
_cell_angle_gamma 90.00
_symmetry_space_group_name_H-M 'I 4/m m m'
_symmetry_Int_Tables_number 139
_symmetry_space_group_name_Hall '-I 4 2'
loop_
_atom_site_label
_atom_site_fract_x
_atom_site_fract_y
_atom_site_fract_z
_atom_site_occupancy
Zn1 0.000 0.500 0.250 1
In1 0.000 0.000 0.000 1
Pt1 0.000 0.000 0.500 1

# PBE-GGA SrH16O10, optimized geometry
# Electronic total energy   -4.991 eV per atom
data_SrH16O10
_cell_length_a 6.202
_cell_length_b 6.204
_cell_length_c 6.960
_cell_angle_alpha 90.03
_cell_angle_beta 90.09
_cell_angle_gamma 90.01
_symmetry_space_group_name_H-M 'P -1'
_symmetry_Int_Tables_number 2
loop_
_symmetry_equiv_pos_as_xyz
'x,y,z'
'-x,-y,-z'
loop_
_atom_site_label
_atom_site_fract_x
_atom_site_fract_y
_atom_site_fract_z
_atom_site_occupancy
Sr1 0.000 0.000 0.000 1
H1 0.062 0.739 0.317 1
H2 0.075 0.735 0.690 1
H3 0.255 0.071 0.319 1
H4 0.272 0.065 0.693 1
H5 0.316 0.672 0.320 1
H6 0.324 0.324 0.318 1
H7 0.328 0.668 0.690 1
H8 0.336 0.319 0.688 1
O1 0.206 0.781 0.270 1
O2 0.215 0.214 0.269 1
O3 0.218 0.775 0.741 1
O4 0.229 0.209 0.740 1
O5 0.496 0.501 0.393 1

# PBE-GGA CaPm4Rh, optimized geometry
# Electronic total energy   -4.714 eV per atom
# DFT formation energy   0.0120 eV/atom
data_CaPm4Rh
_cell_length_a 4.859
_cell_length_b 4.859
_cell_length_c 9.474
_cell_angle_alpha 90.00
_cell_angle_beta 90.00
_cell_angle_gamma 90.00
_symmetry_space_group_name_H-M 'P 4/m m m'
_symmetry_Int_Tables_number 123
_symmetry_space_group_name_Hall '-P 4 2'
loop_
_atom_site_label
_atom_site_fract_x
_atom_site_fract_y
_atom_site_fract_z
_atom_site_occupancy
Ca1 0.000 0.000 0.000 1
Pm1 0.000 0.500 0.321 1
Rh1 0.500 0.500 0.500 1

# PBE-GGA NdPuInO6, optimized geometry
# Electronic total energy   -8.188 eV per atom
# Energy relative to the elements, uncorrected   -2.456 eV/atom
data_NdPuInO6
_cell_length_a 5.5681
_cell_length_b 5.5681
_cell_length_c 10.2436
_cell_angle_alpha 90.00
_cell_angle_beta 90.00
_cell_angle_gamma 120.00
_symmetry_space_group_name_H-M 'P -3 1 c'
_symmetry_Int_Tables_number 163
_symmetry_space_group_name_Hall '-P 3 2c'
loop_
_atom_site_label
_atom_site_fract_x
_atom_site_fract_y
_atom_site_fract_z
_atom_site_occupancy
Nd1 0.0000 0.0000 0.0000 1
Pu1 0.3333 0.6667 0.2500 1
In1 0.3333 0.6667 0.7500 1
O1 0.0168 0.3598 0.1374 1

# PBE-GGA CdIrAu2, optimized geometry
# Electronic total energy   -3.899 eV per atom
# DFT formation energy   0.1835 eV/atom
data_CdIrAu2
_cell_length_a 4.164
_cell_length_b 4.164
_cell_length_c 8.084
_cell_angle_alpha 90.00
_cell_angle_beta 90.00
_cell_angle_gamma 90.00
_symmetry_space_group_name_H-M 'I -4 m 2'
_symmetry_Int_Tables_number 119
_symmetry_space_group_name_Hall 'I -4 -2'
loop_
_atom_site_label
_atom_site_fract_x
_atom_site_fract_y
_atom_site_fract_z
_atom_site_occupancy
Cd1 0.000 0.000 0.000 1
Ir1 0.000 0.500 0.750 1
Au1 0.000 0.000 0.500 1
Au2 0.000 0.500 0.250 1

# PBE-GGA CrHSe2, optimized geometry
# Electronic total energy   -5.089 eV per atom
data_CrHSe2
_cell_length_a 7.702
_cell_length_b 3.993
_cell_length_c 11.331
_cell_angle_alpha 90.00
_cell_angle_beta 132.61
_cell_angle_gamma 90.00
_symmetry_space_group_name_H-M 'P 1 21/c 1'
_symmetry_Int_Tables_number 14
loop_
_symmetry_equiv_pos_as_xyz
'x,y,z'
'-x,-y,-z'
'-x,y+1/2,-z+1/2'
'x,-y+1/2,z+1/2'
loop_
_atom_site_label
_atom_site_fract_x
_atom_site_fract_y
_atom_site_fract_z
_atom_site_occupancy
Cr1 0.208 0.178 0.337 1
H1 0.018 0.613 0.696 1
Se1 0.080 0.678 0.957 1
Se2 0.440 0.701 0.368 1

# PBE-GGA Na2MgAg2, optimized geometry
# Electronic total energy   -1.987 eV per atom
# DFT formation energy   0.0005 eV/atom
data_Na2MgAg2
_cell_length_a 7.296
_cell_length_b 7.296
_cell_length_c 4.583
_cell_angle_alpha 90.00
_cell_angle_beta 90.00
_cell_angle_gamma 90.00
_symmetry_space_group_name_H-M 'P 4/m b m'
_symmetry_Int_Tables_number 127
_symmetry_space_group_name_Hall '-P 4 2ab'
loop_
_atom_site_label
_atom_site_fract_x
_atom_site_fract_y
_atom_site_fract_z
_atom_site_occupancy
Na1 0.166 0.334 0.000 1
Mg1 0.000 0.000 0.500 1
Ag1 0.136 0.636 0.500 1